No. 1
Material: Sc3SiSb
Method: DFT, SCAN
State: single point on PBEsol structure

Output
Formation energy (no corrections) ... -0.4349 eV/atom

The structure in extended XYZ format:
```
5
Lattice="4.901 0.000 0.000 0.000 4.901 0.000 0.000 0.000 4.901" Properties=species:S:1:pos:R:3 pbc="T T T"
Sc 0.000 0.000 2.450
Sc 0.000 2.450 0.000
Sc 2.450 0.000 0.000
Si 0.000 0.000 0.000
Sb 2.450 2.450 2.450
```



No. 2
Material: Be2PCl
Method: DFT, SCAN
State: single point on PBEsol structure

Output
Formation energy (no corrections) ... -0.6654 eV/atom

The structure in extended XYZ format:
```
8
Lattice="-2.483 2.483 5.061 2.483 -2.483 5.061 2.483 2.483 -5.061" Properties=species:S:1:pos:R:3 pbc="T T T"
Be 3.725 1.083 -1.265
Be 1.083 1.242 1.265
Be -1.242 1.401 3.795
Be 1.401 1.242 6.326
P 0.000 0.000 0.000
P 0.000 2.483 2.530
Cl 2.483 0.000 2.530
Cl 0.000 0.000 5.061
```



No. 3
Material: Li3FeP8O24
Method: DFT, SCAN
State: single point on PBEsol structure

Output
Formation energy (no corrections) ... -2.2168 eV/atom

The structure in extended XYZ format:
```
36
Lattice="5.908 -4.034 0.000 5.908 4.034 0.000 -4.844 0.000 8.668" Properties=species:S:1:pos:R:3 pbc="T T T"
Li 0.000 0.000 0.000
Li 1.557 -1.520 1.951
Li 5.415 -1.520 6.717
Fe 3.486 -3.133 4.334
P 4.523 2.391 2.451
P 2.449 2.391 6.217
P 3.215 0.600 0.606
P 0.819 0.366 4.702
P 3.758 0.600 8.062
P 6.154 0.366 3.966
P 2.053 -1.521 6.632
P 4.919 -1.521 2.036
O 3.928 3.655 3.088
O -0.537 1.054 4.935
O 3.045 3.655 5.581
O -1.222 1.233 7.999
O 1.389 2.502 7.236
O 3.245 1.642 1.866
O 1.910 -0.102 0.690
O 1.981 1.451 4.995
O 5.584 2.502 1.432
O 1.101 -0.254 3.405
O 4.992 1.451 3.674
O 3.728 1.642 6.802
O 0.895 -0.680 5.907
O 4.387 -0.435 1.023
O 8.194 1.233 0.669
O 2.585 -0.435 7.646
O 7.510 1.054 3.733
O 3.781 -1.758 3.077
O 6.078 -0.680 2.761
O 3.191 -1.758 5.592
O 5.871 -0.254 5.264
O 1.468 -2.682 7.294
O 5.063 -0.102 7.978
O 5.504 -2.682 1.375
```



No. 4
Material: Th2Al2C3
Method: DFT, SCAN
State: single point on PBEsol structure

Output
Formation energy ... -0.41 eV/atom

The structure in extended XYZ format:
```
14
Lattice="5.373 0.000 0.000 0.000 11.522 0.000 0.000 0.000 3.487" Properties=species:S:1:pos:R:3 pbc="T T T"
Th 0.940 1.718 0.000
Th 1.747 7.478 1.743
Th 3.626 4.043 1.743
Th 4.433 9.804 0.000
Al 0.985 4.770 0.000
Al 1.701 10.531 1.743
Al 3.672 0.991 1.743
Al 4.388 6.751 0.000
C 0.000 0.000 1.743
C 0.899 3.591 1.743
C 1.788 9.352 0.000
C 2.687 5.761 0.000
C 3.585 2.170 0.000
C 4.474 7.931 1.743
```



No. 5
Material: Ba2LiH
Method: DFT, SCAN
State: single point on PBEsol structure

Output
E ... -21.35 eV/atom

The structure in extended XYZ format:
```
8
Lattice="-4.051 4.051 4.326 4.051 -4.051 4.326 4.051 4.051 -4.326" Properties=species:S:1:pos:R:3 pbc="T T T"
Ba 2.026 1.139 -1.081
Ba 2.912 -2.026 5.407
Ba 2.026 2.912 3.244
Ba 1.139 6.077 1.081
Li 4.051 0.000 2.163
Li 0.000 0.000 4.326
H 0.000 0.000 0.000
H 0.000 4.051 2.163
```



No. 6
Material: KMg2Rh2
Method: DFT, SCAN
State: single point on PBEsol structure

Output
Formation energy ... 0.07 eV/atom

The structure in extended XYZ format:
```
5
Lattice="-2.319 2.319 4.964 2.319 -2.319 4.964 2.319 2.319 -4.964" Properties=species:S:1:pos:R:3 pbc="T T T"
K 0.000 0.000 0.000
Mg 2.319 0.000 2.482
Mg 0.000 2.319 2.482
Rh 0.000 0.000 3.744
Rh 0.000 0.000 6.184
```



No. 7
Material: Cr2FeRe
Method: DFT, SCAN
State: single point on PBEsol structure

Output
Formation energy ... 0.07 eV/atom

The structure in extended XYZ format:
```
4
Lattice="-1.436 2.051 4.011 1.436 -2.051 4.011 1.436 2.051 -4.011" Properties=species:S:1:pos:R:3 pbc="T T T"
Cr 0.000 0.000 0.000
Cr 0.000 2.051 2.217
Fe 0.000 0.000 4.187
Re 1.436 0.000 2.044
```



No. 8
Material: Ti6Al16Pd7
Method: DFT, SCAN
State: single point on PBEsol structure

Output
Formation energy ... -0.78 eV/atom

The structure in extended XYZ format:
```
29
Lattice="0.000 6.056 6.056 6.056 0.000 6.056 6.056 6.056 0.000" Properties=species:S:1:pos:R:3 pbc="T T T"
Ti 6.056 6.056 2.104
Ti 6.056 2.104 6.056
Ti 10.008 6.056 6.056
Ti 2.104 6.056 6.056
Ti 6.056 10.008 6.056
Ti 6.056 6.056 10.008
Al 7.513 4.599 4.599
Al 1.947 1.947 1.947
Al 4.109 4.109 1.947
Al 4.109 1.947 4.109
Al 4.599 4.599 4.599
Al 7.513 7.513 4.599
Al 7.513 4.599 7.513
Al 10.165 8.002 8.002
Al 1.947 4.109 4.109
Al 4.599 7.513 4.599
Al 4.599 4.599 7.513
Al 7.513 7.513 7.513
Al 8.002 10.165 8.002
Al 8.002 8.002 10.165
Al 10.165 10.165 10.165
Al 4.599 7.513 7.513
Pd 3.028 3.028 0.000
Pd 3.028 0.000 3.028
Pd 6.056 3.028 3.028
Pd 0.000 3.028 3.028
Pd 3.028 6.056 3.028
Pd 3.028 3.028 6.056
Pd 6.056 6.056 6.056
```



No. 9
Material: Tm5Ni2Bi
Method: DFT, SCAN
State: single point on PBEsol structure

Output
Formation energy ... -0.54 eV/atom

The structure in extended XYZ format:
```
16
Lattice="-3.722 3.722 6.619 3.722 -3.722 6.619 3.722 3.722 -6.619" Properties=species:S:1:pos:R:3 pbc="T T T"
Tm 0.000 0.000 0.000
Tm 4.886 1.164 -1.763
Tm 1.164 2.558 -1.763
Tm 4.886 1.164 1.763
Tm 1.164 2.558 1.763
Tm 0.000 0.000 6.619
Tm 2.558 1.164 4.856
Tm -1.164 2.558 4.856
Tm 2.558 1.164 8.381
Tm -1.164 2.558 8.381
Ni 2.742 0.980 0.000
Ni 2.742 -0.980 6.619
Ni 0.980 4.702 0.000
Ni 0.980 2.742 6.619
Bi 0.000 0.000 3.309
Bi 0.000 0.000 9.928
```



No. 10
Material: LiSiSb2I
Method: DFT, SCAN
State: single point on PBEsol structure

Output
Formation energy (no corrections) ... 0.3939 eV/atom

The structure in extended XYZ format:
```
5
Lattice="5.153 0.000 0.000 0.000 5.153 0.000 0.000 0.000 5.885" Properties=species:S:1:pos:R:3 pbc="T T T"
Li 0.000 0.000 0.000
Si 2.576 2.576 2.942
Sb 0.000 2.576 2.942
Sb 2.576 0.000 2.942
I 2.576 2.576 0.000
```



No. 11
Material: BiTeMo3
Method: DFT, SCAN
State: single point on PBEsol structure

Output
Formation energy (no corrections) ... 2.3884 eV/atom

The structure in extended XYZ format:
```
5
Lattice="5.008 0.000 0.000 0.000 5.008 0.000 0.000 0.000 5.008" Properties=species:S:1:pos:R:3 pbc="T T T"
Bi 0.000 0.000 0.000
Te 2.504 2.504 2.504
Mo 0.000 0.000 2.504
Mo 0.000 2.504 0.000
Mo 2.504 0.000 0.000
```



No. 12
Material: TlBr2Cl
Method: DFT, SCAN
State: single point on PBEsol structure

Output
Formation energy (no corrections) ... -0.4969 eV/atom

The structure in extended XYZ format:
```
4
Lattice="6.046 0.000 0.000 0.000 3.747 0.000 -2.531 0.000 5.762" Properties=species:S:1:pos:R:3 pbc="T T T"
Tl 0.000 0.000 0.000
Br 2.220 0.000 3.583
Br 4.995 1.873 1.690
Cl -0.714 1.873 5.435
```



no.,calculated density (g/cm3),volume (A^3/atom)
1,4.02,23.54
2,2.25,15.60
3,2.85,11.48
4,8.52,15.42
5,3.30,35.50
6,4.56,21.36
7,12.16,11.81
8,5.47,15.32
9,10.60,22.92
10,4.31,31.25
11,8.26,25.11
12,5.08,32.63